No. 1
{"formula": "LiUAgSe3", "functional": "PBE", "state": "optimized geometry", "lattice_angstrom": [[9.179, 0.000, 0.000], [0.000, 3.890, 0.000], [-4.316, 0.000, 9.025]], "species": ["Li", "Li", "U", "U", "Ag", "Ag", "Se", "Se", "Se", "Se", "Se", "Se"], "fractional_positions": [[0.026, 0.250, 0.377], [0.974, 0.750, 0.623], [0.406, 0.750, 0.655], [0.594, 0.250, 0.345], [0.371, 0.250, 0.961], [0.629, 0.750, 0.039], [0.170, 0.250, 0.679], [0.320, 0.250, 0.419], [0.372, 0.750, 0.148], [0.628, 0.250, 0.852], [0.680, 0.750, 0.581], [0.830, 0.750, 0.321]], "rho_g_cm3": 6.1, "vol_a3_per_atom": 26.85, "raw_formation_energy_ev_per_atom": -0.89}



No. 2
{"formula": "Mg2NiAgH", "functional": "PBE", "state": "optimized geometry", "lattice_angstrom": [[4.593, 0.000, 0.000], [0.000, 4.593, 0.000], [0.000, 0.000, 3.238]], "species": ["Mg", "Mg", "Ni", "Ag", "H"], "fractional_positions": [[0.000, 0.500, 0.000], [0.500, 0.000, 0.000], [0.000, 0.000, 0.500], [0.500, 0.500, 0.500], [0.000, 0.000, 0.000]], "rho_g_cm3": 5.3, "vol_a3_per_atom": 13.66, "energy_ev_per_cell": -16.2}



No. 3
{"formula": "Th2Zn2BIr4", "functional": "PBE", "state": "optimized geometry", "lattice_angstrom": [[-3.063, 3.063, 4.255], [3.063, -3.063, 4.255], [3.063, 3.063, -4.255]], "species": ["Th", "Th", "Zn", "Zn", "B", "Ir", "Ir", "Ir", "Ir"], "fractional_positions": [[0.250, 0.750, 0.500], [0.750, 0.250, 0.500], [0.172, 0.172, 0.000], [0.828, 0.828, 0.000], [0.500, 0.500, 0.000], [0.257, 0.257, 0.513], [0.257, 0.743, 0.000], [0.743, 0.257, 0.000], [0.743, 0.743, 0.487]], "rho_g_cm3": 14.3, "vol_a3_per_atom": 17.75, "energy_ev_per_cell": -64.4}



No. 4
{"formula": "ZnSiF2", "functional": "PBE", "state": "optimized geometry", "lattice_angstrom": [[6.029, 0.000, 0.000], [0.000, 6.029, 0.000], [0.000, 0.000, 6.029]], "species": ["Zn", "Zn", "Zn", "Zn", "Si", "Si", "Si", "Si", "F", "F", "F", "F", "F", "F", "F", "F"], "fractional_positions": [[0.000, 0.000, 0.000], [0.000, 0.500, 0.500], [0.500, 0.000, 0.500], [0.500, 0.500, 0.000], [0.000, 0.000, 0.500], [0.000, 0.500, 0.000], [0.500, 0.000, 0.000], [0.500, 0.500, 0.500], [0.250, 0.250, 0.250], [0.250, 0.250, 0.750], [0.250, 0.750, 0.250], [0.250, 0.750, 0.750], [0.750, 0.250, 0.250], [0.750, 0.250, 0.750], [0.750, 0.750, 0.250], [0.750, 0.750, 0.750]], "rho_g_cm3": 4.0, "vol_a3_per_atom": 13.69, "raw_formation_energy_ev_per_atom": -0.71}



What did the fourth record say?
{"formula": "ZnSiF2", "functional": "PBE", "state": "optimized geometry", "lattice_angstrom": [[6.029, 0.000, 0.000], [0.000, 6.029, 0.000], [0.000, 0.000, 6.029]], "species": ["Zn", "Zn", "Zn", "Zn", "Si", "Si", "Si", "Si", "F", "F", "F", "F", "F", "F", "F", "F"], "fractional_positions": [[0.000, 0.000, 0.000], [0.000, 0.500, 0.500], [0.500, 0.000, 0.500], [0.500, 0.500, 0.000], [0.000, 0.000, 0.500], [0.000, 0.500, 0.000], [0.500, 0.000, 0.000], [0.500, 0.500, 0.500], [0.250, 0.250, 0.250], [0.250, 0.250, 0.750], [0.250, 0.750, 0.250], [0.250, 0.750, 0.750], [0.750, 0.250, 0.250], [0.750, 0.250, 0.750], [0.750, 0.750, 0.250], [0.750, 0.750, 0.750]], "rho_g_cm3": 4.0, "vol_a3_per_atom": 13.69, "raw_formation_energy_ev_per_atom": -0.71}



Q: Number 3 is which compound?
A: Th2Zn2BIr4